# K2ZrRh

Crystalline K2ZrRh at its relaxed geometry (PBE, the Alexandria database).

Unit cell a=4.041 b=4.041 c=6.192 alpha=90.00 beta=90.00 gamma=90.00
Space group P4/mmm (No. 123)
Symmetry-distinct sites (fractional):
K  0.000  0.500  0.000 (multiplicity 2)
Zr  0.000  0.000  0.500 (multiplicity 1)
Rh  0.500  0.500  0.500 (multiplicity 1)

Properties
Offset from the most stable computed form (eV per atom): 0.487
ΔH_f (0 K) (meV/atom): 600

***

# HoHfCS

Crystalline HoHfCS at its relaxed geometry (PBE, the Alexandria database).

Unit cell a=3.4890 b=3.4890 c=18.9493 alpha=90.00 beta=90.00 gamma=120.00
Space group R3m (No. 160, hexagonal axes)
Symmetry-distinct sites (fractional):
Ho  0.0000  0.0000  0.0000 (multiplicity 3)
Hf  0.0000  0.0000  0.1973 (multiplicity 3)
C  0.0000  0.0000  0.5882 (multiplicity 3)
S  0.0000  0.0000  0.7708 (multiplicity 3)

Properties
Formation energy (no corrections) (eV/atom): -1.28

***

# NaLi17Ca

Crystalline NaLi17Ca at its relaxed geometry (PBE, the Alexandria database).

Unit cell a=9.8877 b=9.8877 c=15.2134 alpha=90.00 beta=90.00 gamma=120.00
Space group R3m (No. 160, hexagonal axes)
Symmetry-distinct sites (fractional):
Na  0.0000  0.0000  0.0000 (multiplicity 3)
Li  0.0000  0.0000  0.2421 (multiplicity 3)
Li  0.0000  0.0000  0.4276 (multiplicity 3)
Li  0.0390  0.3693  0.0040 (multiplicity 18)
Li  0.1844  0.3689  0.1777 (multiplicity 9)
Li  0.1851  0.3702  0.8136 (multiplicity 9)
Li  0.1876  0.3752  0.5190 (multiplicity 9)
Ca  0.0000  0.0000  0.6754 (multiplicity 3)

Properties
ΔH_f (0 K) (meV/atom): 38

***

# InMo2Os

Crystalline InMo2Os at its relaxed geometry (PBE, the Alexandria database).

Unit cell a=3.172 b=3.172 c=6.638 alpha=90.00 beta=90.00 gamma=90.00
Space group P4mm (No. 99)
Symmetry-distinct sites (fractional):
In  0.000  0.000  0.000 (multiplicity 1)
Mo  0.000  0.000  0.504 (multiplicity 1)
Mo  0.500  0.500  0.277 (multiplicity 1)
Os  0.500  0.500  0.731 (multiplicity 1)

Properties
ΔH_f (0 K) (meV/atom): 317

***

# SrRe2W

Crystalline SrRe2W at its relaxed geometry (PBE, the Alexandria database).

Unit cell a=3.239 b=4.601 c=9.736 alpha=90.00 beta=90.00 gamma=90.00
Space group Cmmm (No. 65)
Symmetry-distinct sites (fractional):
Sr  0.000  0.000  0.000 (multiplicity 2)
Re  0.000  0.500  0.283 (multiplicity 4)
W  0.000  0.000  0.500 (multiplicity 2)

Properties
Offset from the most stable computed form (eV per atom): 0.000
ΔH_f (0 K) (meV/atom): 728

***

# Hg2PtBr

Crystalline Hg2PtBr at its relaxed geometry (PBE, the Alexandria database).

Unit cell a=5.237 b=4.142 c=6.114 alpha=90.00 beta=106.61 gamma=90.00
Space group Pm (No. 6)
Symmetry-distinct sites (fractional):
Hg  0.000  0.000  0.000 (multiplicity 1)
Hg  0.469  0.500  0.795 (multiplicity 1)
Pt  0.526  0.000  0.084 (multiplicity 1)
Br  0.620  0.500  0.387 (multiplicity 1)

Properties
Offset from the most stable computed form (eV per atom): 0.000
Formation energy (no corrections) (eV/atom): 0.00

***

Please write out number 4 again, unchanged.
# InMo2Os

Crystalline InMo2Os at its relaxed geometry (PBE, the Alexandria database).

Unit cell a=3.172 b=3.172 c=6.638 alpha=90.00 beta=90.00 gamma=90.00
Space group P4mm (No. 99)
Symmetry-distinct sites (fractional):
In  0.000  0.000  0.000 (multiplicity 1)
Mo  0.000  0.000  0.504 (multiplicity 1)
Mo  0.500  0.500  0.277 (multiplicity 1)
Os  0.500  0.500  0.731 (multiplicity 1)

Properties
ΔH_f (0 K) (meV/atom): 317